No. 1
# Zr2Au

An optimized crystal structure of Zr2Au (GGA-PBEsol, Alexandria).

Properties
Magnetic moment, μB/cell: 0.00
E, eV/atom: -7.799
V, Å³/atom: 20.4

abc: 6.202 6.202 6.202
angles: 149.49 149.49 43.69
Element x y z (fractional)
Zr: 0.160 0.160 0.000
Zr: 0.840 0.840 0.000
Au: 0.500 0.500 0.000

No. 2
# Zr2Au

An optimized crystal structure of Zr2Au (GGA-PBEsol, Alexandria).

Properties
Magnetic moment, μB/cell: 0.00
E, eV/atom: -7.322
V, Å³/atom: 23.1

abc: 4.478 4.478 3.458
angles: 90.00 90.00 90.00
Element x y z (fractional)
Zr: 0.000 0.500 0.000
Zr: 0.500 0.000 0.000
Au: 0.000 0.000 0.500

No. 3
# ZrAu2

An optimized crystal structure of ZrAu2 (GGA-PBEsol, Alexandria).

Properties
Magnetic moment, μB/cell: 0.00
E, eV/atom: -6.182
V, Å³/atom: 18.4

abc: 4.727 4.727 5.706
angles: 90.00 90.00 120.00
Element x y z (fractional)
Zr: 0.333 0.667 0.250
Zr: 0.667 0.333 0.750
Au: 0.000 0.000 0.000
Au: 0.000 0.000 0.500
Au: 0.333 0.667 0.750
Au: 0.667 0.333 0.250

No. 4
# Zr8Au

An optimized crystal structure of Zr8Au (GGA-PBEsol, Alexandria).

Properties
Magnetic moment, μB/cell: 0.00
E, eV/atom: -8.611
V, Å³/atom: 21.3

abc: 7.078 7.078 7.078
angles: 95.04 95.04 145.53
Element x y z (fractional)
Zr: 0.000 0.332 0.332
Zr: 0.000 0.668 0.668
Zr: 0.332 0.000 0.332
Zr: 0.335 0.335 0.669
Zr: 0.335 0.665 0.000
Zr: 0.665 0.335 0.000
Zr: 0.665 0.665 0.331
Zr: 0.668 0.000 0.668
Au: 0.000 0.000 0.000

No. 5
# Zr2Au

An optimized crystal structure of Zr2Au (GGA-PBEsol, Alexandria).

Properties
Magnetic moment, μB/cell: 0.00
E, eV/atom: -7.736
V, Å³/atom: 19.7

abc: 7.052 7.052 4.243
angles: 90.00 90.00 145.90
Element x y z (fractional)
Zr: 0.076 0.924 0.750
Zr: 0.245 0.755 0.250
Zr: 0.755 0.245 0.750
Zr: 0.924 0.076 0.250
Au: 0.419 0.581 0.750
Au: 0.581 0.419 0.250

No. 6
# ZrAu2

An optimized crystal structure of ZrAu2 (GGA-PBEsol, Alexandria).

Properties
Magnetic moment, μB/cell: 0.00
E, eV/atom: -6.007
V, Å³/atom: 19.3

abc: 12.546 12.546 12.546
angles: 166.00 166.00 19.85
Element x y z (fractional)
Zr: 0.375 0.625 0.750
Zr: 0.625 0.375 0.250
Au: 0.047 0.797 0.250
Au: 0.203 0.953 0.250
Au: 0.797 0.047 0.750
Au: 0.953 0.203 0.750

No. 7
# ZrAu2

An optimized crystal structure of ZrAu2 (GGA-PBEsol, Alexandria).

Properties
Magnetic moment, μB/cell: 0.00
E, eV/atom: -6.188
V, Å³/atom: 18.5

abc: 7.117 7.117 4.682
angles: 90.00 90.00 152.14
Element x y z (fractional)
Zr: 0.106 0.894 0.750
Zr: 0.894 0.106 0.250
Au: 0.228 0.772 0.250
Au: 0.442 0.558 0.750
Au: 0.558 0.442 0.250
Au: 0.772 0.228 0.750

No. 8
# ZrAu

An optimized crystal structure of ZrAu (GGA-PBEsol, Alexandria).

Properties
Magnetic moment, μB/cell: 0.00
E, eV/atom: -7.044
V, Å³/atom: 18.8

abc: 3.026 3.026 4.108
angles: 90.00 90.00 90.00
Element x y z (fractional)
Zr: 0.000 0.000 0.000
Au: 0.500 0.500 0.500